Arrangement a

Y5HoEr5: relaxed, PBE.

Summary:
Magnetization (μB/atom): 0.000
Space-group type: P-1, No. 2

a b c (Å): 6.8274 9.4570 7.8617
angles (deg): 114.52 54.85 119.33
Last column: nearest neighbours and their distance in Å.
Element x y z (fractional)
Y (0.8450, 0.6370, 0.1466)  2 Y 3.36-3.42, 7 Er 3.50-3.72, 1 Ho 3.54
Y (0.7649, 0.6357, 0.6839)  7 Er 3.39-3.55, 1 Y 3.42, 1 Ho 3.56
Y (0.5000, 0.0000, 0.0000)  6 Er 3.18-3.41, 2 Ho 3.41
Y (0.2351, 0.3643, 0.3161)  7 Er 3.39-3.55, 1 Y 3.42, 1 Ho 3.56
Y (0.1550, 0.3630, 0.8534)  2 Y 3.36-3.42, 7 Er 3.50-3.72, 1 Ho 3.54
Ho (0.0000, 0.0000, 0.0000)  6 Y 3.41-3.56, 4 Er 3.54-3.61
Er (0.6504, 0.2732, 0.3516)  6 Y 3.18-3.52, 1 Er 3.31, 1 Ho 3.54
Er (0.6496, 0.2745, 0.7733)  6 Y 3.18-3.52, 2 Er 3.31-3.55
Er (0.0000, 0.0000, 0.5000)  6 Y 3.41-3.55, 4 Er 3.55-3.61
Er (0.3504, 0.7255, 0.2267)  6 Y 3.18-3.52, 2 Er 3.31-3.55
Er (0.3496, 0.7268, 0.6484)  6 Y 3.18-3.52, 1 Er 3.31, 1 Ho 3.54

---

Arrangement b

Y5HoEr5: relaxed, PBE.

Summary:
Magnetization (μB/atom): 0.000
Space-group type: P-6m2, No. 187

a b c (Å): 6.0462 6.0462 11.4765
angles (deg): 90.00 90.00 120.00
Last column: nearest neighbours and their distance in Å.
Element x y z (fractional)
Y (0.6667, 0.3333, 0.1585)  7 Y 3.64-3.94, 3 Er 3.70, 3 Ho 3.94
Y (0.6667, 0.3333, 0.8415)  7 Y 3.64-3.94, 3 Er 3.70, 3 Ho 3.94
Y (0.3333, 0.6667, 0.3174)  9 Er 3.54-3.68, 1 Ho 3.64, 3 Y 3.94
Y (0.3333, 0.6667, 0.6826)  9 Er 3.54-3.68, 1 Ho 3.64, 3 Y 3.94
Y (0.0000, 0.0000, 0.0000)  2 Er 3.05
Ho (0.3333, 0.6667, 0.0000)  5 Y 3.49-3.64
Er (0.3355, 0.1677, 0.5000)  6 Er 3.00-3.21
Er (0.0000, 0.0000, 0.2657)  1 Y 3.05, 3 Er 3.21
Er (0.8323, 0.6645, 0.5000)  6 Er 3.00-3.21
Er (0.8323, 0.1677, 0.5000)  6 Er 3.00-3.21
Er (0.0000, 0.0000, 0.7343)  1 Y 3.05, 3 Er 3.21

---

In kJ/mol of atoms, relative to the most stable structure: arrangement a 0.0; arrangement b 14.7.

---

Arrangement a

Y8Ho3Er4: relaxed, PBE.

Summary:
Magnetization (μB/atom): 0.019
Space-group type: R-3m, No. 166

a b c (Å): 6.9244 6.9244 12.3678
angles (deg): 73.74 73.74 60.00
Last column: nearest neighbours and their distance in Å.
Element x y z (fractional)
Y (0.2451, 0.2451, 0.2648)  1 Er 3.19, 3 Ho 3.40, 6 Y 3.47
Y (0.2489, 0.7506, 0.2498)  6 Y 3.45-3.47, 3 Er 3.47-3.55, 2 Ho 3.54
Y (0.7506, 0.7506, 0.2498)  6 Y 3.45-3.47, 3 Er 3.47-3.55, 2 Ho 3.54
Y (0.7506, 0.2489, 0.2498)  6 Y 3.45-3.47, 3 Er 3.47-3.55, 2 Ho 3.54
Y (0.7549, 0.7549, 0.7352)  1 Er 3.19, 3 Ho 3.40, 6 Y 3.47
Y (0.7511, 0.2494, 0.7502)  6 Y 3.45-3.47, 3 Er 3.47-3.55, 2 Ho 3.54
Y (0.2494, 0.2494, 0.7502)  6 Y 3.45-3.47, 3 Er 3.47-3.55, 2 Ho 3.54
Y (0.2494, 0.7511, 0.7502)  6 Y 3.45-3.47, 3 Er 3.47-3.55, 2 Ho 3.54
Ho (0.5000, 0.0000, 0.5000)  6 Y 3.40-3.54, 4 Ho 3.46, 2 Er 3.46
Ho (0.0000, 0.0000, 0.5000)  6 Y 3.40-3.54, 2 Er 3.46, 4 Ho 3.46
Ho (0.0000, 0.5000, 0.5000)  6 Y 3.40-3.54, 4 Ho 3.46, 2 Er 3.46
Er (0.0000, 0.0000, 0.0000)  6 Y 3.54
Er (0.3359, 0.3359, 0.9923)  4 Y 3.19-3.47
Er (0.5000, 0.5000, 0.5000)  6 Ho 3.46, 6 Y 3.55
Er (0.6641, 0.6641, 0.0077)  4 Y 3.19-3.47

---

Arrangement b

Y8Ho3Er4: relaxed, PBE.

Summary:
Magnetization (μB/atom): 0.001
Space-group type: C2/m, No. 12

a b c (Å): 6.7172 9.2477 9.2477
angles (deg): 87.56 111.28 111.28
Last column: nearest neighbours and their distance in Å.
Element x y z (fractional)
Y (0.5288, 0.2666, 0.2666)  3 Ho 3.21-3.22, 2 Y 3.22-3.50, 2 Er 3.47-3.55
Y (0.0000, 0.6431, 0.3569)  2 Er 3.61, 4 Ho 3.61-3.83, 7 Y 3.63-3.66
Y (0.0069, 0.2652, 0.2652)  4 Er 3.20-3.52, 1 Ho 3.22, 2 Y 3.22-3.50
Y (0.5000, 0.7499, 0.2501)  3 Ho 3.20-3.34, 3 Er 3.20-3.34
Y (0.5000, 0.2501, 0.7499)  3 Ho 3.20-3.34, 3 Er 3.20-3.34
Y (0.9931, 0.7348, 0.7348)  4 Er 3.20-3.52, 1 Ho 3.22, 2 Y 3.22-3.50
Y (0.0000, 0.3569, 0.6431)  2 Er 3.61, 4 Ho 3.61-3.83, 7 Y 3.63-3.66
Y (0.4712, 0.7334, 0.7334)  3 Ho 3.21-3.22, 2 Y 3.22-3.50, 2 Er 3.47-3.55
Ho (0.5000, 0.5000, 0.0000)  4 Y 3.21-3.34, 2 Er 3.36
Ho (0.5000, 0.0000, 0.5000)  4 Y 3.21-3.34, 2 Er 3.36
Ho (0.5000, 0.5000, 0.5000)  6 Y 3.20-3.22
Er (0.5000, 0.0000, 0.0000)  6 Y 3.20-3.47, 2 Er 3.36
Er (0.0000, 0.5000, 0.0000)  4 Y 3.20-3.34, 2 Ho 3.36
Er (0.0000, 0.0000, 0.0000)  2 Er 3.36, 4 Y 3.52-3.55
Er (0.0000, 0.0000, 0.5000)  4 Y 3.20-3.34, 2 Ho 3.36

---

In kJ/mol of atoms, relative to the most stable structure: arrangement a 0.0; arrangement b 23.8.

---

Arrangement a

YHo2Er2: relaxed, PBE.

Summary:
Magnetization (μB/atom): 0.000
Space-group type: I4/mmm, No. 139

a b c (Å): 5.8569 5.8577 6.3036
angles (deg): 117.68 117.68 90.00
Last column: nearest neighbours and their distance in Å.
Element x y z (fractional)
Y (0.0000, 0.0000, 0.0000)  2 Ho 3.36
Ho (0.3536, 0.3536, 0.7072)  1 Ho 2.78, 4 Er 3.09
Ho (0.6464, 0.6464, 0.2928)  1 Ho 2.78, 4 Er 3.09
Er (0.7498, 0.2496, 0.4995)  4 Ho 3.09
Er (0.2502, 0.7504, 0.5005)  4 Ho 3.09

---

Arrangement b

YHo2Er2: relaxed, PBE.

Summary:
Magnetization (μB/atom): 0.000
Space-group type: P4/mbm, No. 127

a b c (Å): 9.2477 9.2477 3.6792
angles (deg): 90.00 90.00 90.00
Last column: nearest neighbours and their distance in Å.
Element x y z (fractional)
Y (0.0000, 0.0000, 0.0000)  4 Ho 3.65, 2 Y 3.68, 8 Er 3.89
Y (0.5000, 0.5000, 0.0000)  4 Ho 3.65, 2 Y 3.68, 8 Er 3.89
Ho (0.1268, 0.6268, 0.0000)  6 Er 3.22-3.34, 1 Ho 3.32
Ho (0.6268, 0.8732, 0.0000)  6 Er 3.22-3.34, 1 Ho 3.32
Ho (0.8732, 0.3732, 0.0000)  6 Er 3.22-3.34, 1 Ho 3.32
Ho (0.3732, 0.1268, 0.0000)  6 Er 3.22-3.34, 1 Ho 3.32
Er (0.3290, 0.8290, 0.5000)  6 Ho 3.22-3.34
Er (0.8290, 0.6710, 0.5000)  6 Ho 3.22-3.34
Er (0.6710, 0.1710, 0.5000)  6 Ho 3.22-3.34
Er (0.1710, 0.3290, 0.5000)  6 Ho 3.22-3.34

---

In kJ/mol of atoms, relative to the most stable structure: arrangement a 44.5; arrangement b 0.0.